Computed, not measured: crystalline PmYZrSc at its relaxed geometry at the PBE level of DFT.

Structure (POSCAR):
```
PmYZrSc
1.0
5.429 0.000 0.000
2.715 4.702 0.000
2.715 1.567 4.433
Zr Pm Sc Y
1 1 1 1
direct
0.250 0.250 0.250
0.500 0.500 0.500
0.000 0.000 0.000
0.750 0.750 0.750
```

Computed properties:
Space group: F-43m
Energy of formation, eV/f.u.: 0.89



Computed, not measured: crystalline Pu2MgSi at its relaxed geometry at the PBE level of DFT.

Structure (POSCAR):
```
Pu2MgSi
1.0
-0.687 -3.356 -1.458
1.339 -1.611 3.078
-6.144 0.078 2.714
Mg Pu Si
1 2 1
direct
0.500 0.500 0.500
0.000 0.000 0.210
0.000 0.000 0.790
0.500 0.500 0.000
```

Computed properties:
Space group: P4/mmm
Formation energy (no corrections), kJ/mol of atoms: -10.0



Computed, not measured: crystalline SrHgO2 at its relaxed geometry at the PBE level of DFT.

Structure (POSCAR):
```
SrHgO2
1.0
-6.514 -0.827 -1.712
-6.423 -0.656 2.089
-6.290 2.546 0.037
O Sr Hg
2 1 1
direct
0.897 0.897 0.897
0.103 0.103 0.103
0.500 0.500 0.500
0.000 0.000 0.000
```

Computed properties:
Space group: R-3m
Formation energy (no corrections), kJ/mol of atoms: -162.4



Computed, not measured: crystalline Th4CoBi at its relaxed geometry at the PBE level of DFT.

Structure (POSCAR):
```
Th4CoBi
1.0
-6.019 0.886 -0.133
-0.956 -6.339 1.035
-1.666 1.675 8.720
Co Th Bi
2 8 2
direct
0.670 0.750 0.104
0.330 0.250 0.896
0.783 0.995 0.352
0.875 0.250 0.000
0.217 0.005 0.648
0.783 0.505 0.352
0.217 0.495 0.648
0.665 0.750 0.819
0.125 0.750 0.000
0.335 0.250 0.181
0.288 0.750 0.325
0.712 0.250 0.675
```

Computed properties:
Space group: P2_1/m
Energy of formation, eV/f.u.: -0.79



Computed, not measured: crystalline YHo4Rh5 at its relaxed geometry at the PBE level of DFT.

Structure (POSCAR):
```
YHo4Rh5
1.0
-1.232 2.181 -2.270
-3.077 -1.349 0.374
-3.425 11.354 12.766
Ho Y Rh
4 1 5
direct
0.000 0.000 0.600
0.000 0.000 0.799
0.000 0.000 0.400
0.000 0.000 0.201
0.000 0.000 0.000
0.500 0.500 0.898
0.500 0.500 0.500
0.500 0.500 0.102
0.500 0.500 0.699
0.500 0.500 0.301
```

Computed properties:
Space group: P4/mmm
Energy of formation, eV/f.u.: -8.87



Computed, not measured: crystalline EuDy2Se at its relaxed geometry at the PBE level of DFT.

Structure (POSCAR):
```
EuDy2Se
1.0
3.802 0.000 0.000
1.901 3.292 0.000
1.901 1.097 10.446
Eu Se Dy
1 1 2
direct
0.000 0.000 0.000
0.500 0.500 0.500
0.889 0.889 0.332
0.111 0.111 0.668
```

Computed properties:
Space group: R-3m
Formation energy (no corrections), kJ/mol of atoms: -60.1



Computed, not measured: crystalline KCuBrCl2 at its relaxed geometry at the PBE level of DFT.

Structure (POSCAR):
```
KCuBrCl2
1.0
4.819 0.000 0.000
0.000 4.819 0.000
0.000 0.000 5.111
Cu Cl Br K
1 2 1 1
direct
0.000 0.000 0.000
0.500 0.000 0.000
0.000 0.500 0.000
0.000 0.000 0.500
0.500 0.500 0.500
```

Computed properties:
Space group: P4/mmm
Formation energy (no corrections), kJ/mol of atoms: -95.8



Computed, not measured: crystalline NaMgTe2Pb at its relaxed geometry at the PBE level of DFT.

Structure (POSCAR):
```
NaMgTe2Pb
1.0
5.622 0.000 0.000
0.000 5.388 0.000
0.000 0.000 5.622
Te Mg Na Pb
2 1 1 1
direct
0.000 0.000 0.500
0.500 0.000 0.000
0.500 0.500 0.500
0.000 0.000 0.000
0.000 0.500 0.000
```

Computed properties:
Space group: P4/mmm
Formation energy (no corrections), kJ/mol of atoms: 31.3



Computed, not measured: crystalline SrSi at its relaxed geometry at the PBE level of DFT.

Structure (POSCAR):
```
SrSi
1.0
-2.876 1.534 -4.050
-1.564 -2.101 -4.491
-4.549 -1.387 -2.101
Si Sr
1 1
direct
0.000 0.000 0.000
0.500 0.500 0.500
```

Computed properties:
Space group: R-3m
Formation energy (no corrections), kJ/mol of atoms: 9.2



Computed, not measured: crystalline GaAgSn at its relaxed geometry at the PBE level of DFT.

Structure (POSCAR):
```
GaAgSn
1.0
3.786 -2.186 0.000
0.000 4.372 0.000
0.000 0.000 10.787
Ag Ga Sn
2 2 2
direct
0.667 0.333 0.750
0.333 0.667 0.250
0.000 0.000 0.250
0.000 0.000 0.750
0.000 0.000 0.000
0.000 0.000 0.500
```

Computed properties:
Space group: P6_3/mmc
Energy of formation, eV/f.u.: 1.50



Computed, not measured: crystalline Pm5Nd3H12 at its relaxed geometry at the PBE level of DFT.

Structure (POSCAR):
```
Pm5Nd3H12
1.0
11.773 0.000 0.000
-3.924 11.100 0.000
-3.924 -5.550 9.613
Pm H Nd
20 48 12
direct
0.875 0.250 0.625
0.000 0.500 0.000
0.125 0.750 0.375
0.375 0.125 0.750
0.000 0.000 0.000
0.875 0.625 0.750
0.500 0.000 0.500
0.500 0.500 0.000
0.125 0.375 0.250
0.750 0.125 0.875
0.375 0.250 0.125
0.625 0.875 0.250
0.625 0.750 0.875
0.500 0.500 0.500
0.000 0.000 0.500
0.500 0.000 0.000
0.000 0.500 0.500
0.750 0.625 0.375
0.250 0.375 0.625
0.250 0.875 0.125
0.934 0.349 0.275
0.849 0.275 0.434
0.659 0.434 0.585
0.915 0.074 0.849
0.725 0.151 0.066
0.085 0.926 0.151
0.159 0.085 0.934
0.341 0.566 0.415
0.275 0.849 0.934
0.066 0.415 0.841
0.659 0.225 0.574
0.434 0.659 0.085
0.415 0.066 0.341
0.574 0.849 0.415
0.341 0.775 0.426
0.585 0.934 0.659
0.849 0.574 0.915
0.426 0.151 0.585
0.841 0.915 0.066
0.926 0.841 0.775
0.074 0.915 0.349
0.651 0.585 0.926
0.085 0.159 0.434
0.915 0.841 0.566
0.151 0.725 0.566
0.574 0.725 0.659
0.926 0.085 0.651
0.225 0.659 0.074
0.349 0.415 0.074
0.725 0.574 0.159
0.775 0.434 0.349
0.349 0.934 0.775
0.426 0.275 0.341
0.151 0.426 0.085
0.651 0.066 0.225
0.566 0.225 0.151
0.934 0.585 0.159
0.415 0.349 0.574
0.841 0.926 0.275
0.074 0.159 0.225
0.775 0.341 0.926
0.434 0.775 0.849
0.275 0.426 0.841
0.566 0.341 0.915
0.159 0.074 0.725
0.066 0.651 0.725
0.225 0.566 0.651
0.585 0.651 0.426
0.375 0.750 0.625
0.125 0.250 0.875
0.625 0.250 0.375
0.625 0.375 0.750
0.125 0.875 0.750
0.750 0.875 0.625
0.250 0.625 0.875
0.875 0.750 0.125
0.750 0.375 0.125
0.250 0.125 0.375
0.875 0.125 0.250
0.375 0.625 0.250
```

Computed properties:
Space group: Ia-3d



Computed, not measured: crystalline TbY5Ho2Sc at its relaxed geometry at the PBE level of DFT.

Structure (POSCAR):
```
TbY5Ho2Sc
1.0
5.527 0.000 0.000
-2.763 10.053 0.000
0.000 0.000 10.299
Y Sc Tb Ho
10 2 2 4
direct
0.518 0.037 0.238
0.699 0.399 0.202
0.371 0.741 0.022
0.629 0.259 0.522
0.270 0.541 0.332
0.301 0.601 0.702
0.482 0.963 0.738
0.016 0.033 0.015
0.730 0.459 0.832
0.984 0.967 0.515
0.191 0.382 0.018
0.809 0.618 0.518
0.593 0.185 0.949
0.407 0.815 0.449
0.110 0.220 0.313
0.890 0.780 0.813
0.884 0.768 0.235
0.116 0.232 0.735
```

Computed properties:
Space group: Cmc2_1
Energy of formation, eV/f.u.: 1.48



Computed, not measured: crystalline Cs4NaP2 at its relaxed geometry at the PBE level of DFT.

Structure (POSCAR):
```
Cs4NaP2
1.0
-4.679 0.519 3.961
-5.732 -1.286 -1.826
-2.149 -10.213 3.577
Cs Na P
4 1 2
direct
0.395 0.395 0.816
0.795 0.795 0.614
0.605 0.605 0.184
0.205 0.205 0.386
0.000 0.000 0.000
0.912 0.912 0.265
0.088 0.088 0.735
```

Computed properties:
Space group: R-3m
Energy of formation, eV/f.u.: -0.99



Computed, not measured: crystalline Pu2ZrPa at its relaxed geometry at the PBE level of DFT.

Structure (POSCAR):
```
Pu2ZrPa
1.0
-2.659 -1.496 1.203
0.275 -2.015 2.572
-2.389 6.854 7.716
Pu Zr Pa
2 1 1
direct
0.251 0.251 0.246
0.749 0.749 0.754
0.500 0.500 0.500
0.000 0.000 0.000
```

Computed properties:
Space group: R-3m
Energy of formation, eV/f.u.: 0.57



Computed, not measured: crystalline TiHSe2 at its relaxed geometry at the PBE level of DFT.

Structure (POSCAR):
```
TiHSe2
1.0
-1.206 -6.945 3.838
1.752 -7.278 2.897
1.116 -5.715 5.524
Se Ti H
2 1 1
direct
0.105 0.105 0.105
0.895 0.895 0.895
0.000 0.000 0.000
0.500 0.500 0.500
```

Computed properties:
Space group: R-3m



Computed, not measured: crystalline Pu3Pd2Pb at its relaxed geometry at the PBE level of DFT.

Structure (POSCAR):
```
Pu3Pd2Pb
1.0
-8.556 -1.200 0.085
-6.167 -1.861 -5.758
-5.472 -6.517 -1.500
Pd Pu Pb
4 6 2
direct
0.130 0.130 0.130
0.370 0.370 0.370
0.870 0.870 0.870
0.630 0.630 0.630
0.250 0.465 0.035
0.535 0.965 0.750
0.750 0.535 0.965
0.965 0.750 0.535
0.035 0.250 0.465
0.465 0.035 0.250
0.500 0.500 0.500
0.000 0.000 0.000
```

Computed properties:
Space group: R-3c
Energy of formation, eV/f.u.: 2.15



Computed, not measured: crystalline CoSb2W at its relaxed geometry at the PBE level of DFT.

Structure (POSCAR):
```
CoSb2W
1.0
4.990 -0.022 -0.003
1.206 4.842 0.003
-2.556 -3.106 2.952
Co W Sb
1 1 2
direct
0.250 0.750 0.500
0.750 0.250 0.500
0.029 0.029 0.000
0.471 0.471 0.000
```

Computed properties:
Space group: Immm
Formation energy (no corrections), kJ/mol of atoms: 59.0



Computed, not measured: crystalline LaAsHPd6 at its relaxed geometry at the PBE level of DFT.

Structure (POSCAR):
```
LaAsHPd6
1.0
7.094 0.000 0.000
0.000 8.087 0.000
-3.547 -4.043 5.471
Pd La As H
12 2 2 2
direct
0.270 0.020 0.539
0.905 0.080 0.250
0.345 0.080 0.250
0.627 0.377 0.254
0.095 0.920 0.750
0.345 0.669 0.250
0.373 0.623 0.746
0.655 0.920 0.750
0.730 0.980 0.461
0.095 0.331 0.750
0.655 0.331 0.750
0.905 0.669 0.250
0.073 0.323 0.147
0.927 0.677 0.853
0.500 0.000 0.000
0.500 0.500 0.000
0.000 0.000 0.500
0.500 0.000 0.500
```

Computed properties:
Space group: Imma



The calculation returns the following total energy values, one per record and in order: -25.2, -36.1, -18.6, -82.9, -70.4, -25.5, -15.5, -11.3, -6.9, -16.8, -348.2, -101.9, -16.5, -46.1, -16.1, -109.9, -25.9, -94.7 eV for the cell shown.
The calculation returns the following ρ values, one per record and in order: 5.43, 9.64, 6.60, 11.33, 10.53, 7.06, 3.55, 4.97, 3.13, 5.51, 6.19, 5.68, 2.99, 13.86, 5.20, 14.01, 11.30, 9.03 g cm⁻³.